Record 1
4
Lattice="-1.771 1.771 3.884 1.771 -1.771 3.884 1.771 1.771 -3.884" Properties=species:S:1:pos:R:3 comment="Ni2PIr, optimized geometry, DFT PBE" total_magnetization_mub_per_cell=1.6 ef_ev_per_atom=0.03 n_ef_per_ev_cell=5.08 pbc="T T T"
Ni 1.771 0.000 1.942
Ni 0.000 1.771 1.942
P 0.000 0.000 0.000
Ir 0.000 0.000 3.884

***

Record 2
4
Lattice="4.415 0.000 0.000 0.000 1.789 3.828 0.000 -1.789 3.828" Properties=species:S:1:pos:R:3 comment="NiP2Ir, optimized geometry, DFT PBE" total_magnetization_mub_per_cell=0.0 ef_ev_per_atom=-0.30 n_ef_per_ev_cell=2.65 e_above_lowest_polymorph_ev_per_fu=0.24 pbc="T T T"
Ni 0.000 0.000 0.000
P 0.000 0.000 5.275
P 2.208 0.000 6.789
Ir 2.208 0.000 4.377

***

Record 3
10
Lattice="6.134 0.000 0.000 0.000 6.134 0.000 0.000 0.000 3.293" Properties=species:S:1:pos:R:3 comment="Ni2P2Ir, optimized geometry, DFT PBE" total_magnetization_mub_per_cell=0.0 ef_ev_per_atom=-0.25 n_ef_per_ev_cell=4.94 e_above_lowest_polymorph_ev_per_fu=0.00 pbc="T T T"
Ni 0.873 2.194 0.000
Ni 2.194 5.261 0.000
Ni 3.940 0.873 0.000
Ni 5.261 3.940 0.000
P 0.854 3.921 1.646
P 2.213 0.854 1.646
P 3.921 5.280 1.646
P 5.280 2.213 1.646
Ir 0.000 0.000 1.646
Ir 3.067 3.067 1.646

***

Record 4
8
Lattice="-1.742 1.742 8.565 1.742 -1.742 8.565 1.742 1.742 -8.565" Properties=species:S:1:pos:R:3 comment="Ni2PIr, optimized geometry, DFT PBE" total_magnetization_mub_per_cell=0.0 ef_ev_per_atom=0.12 n_ef_per_ev_cell=7.12 pbc="T T T"
Ni 2.612 0.822 -2.141
Ni 0.822 0.871 2.141
Ni -0.871 0.919 6.424
Ni 0.919 0.871 10.706
P 0.000 0.000 0.000
P 0.000 1.742 4.283
Ir 1.742 0.000 4.283
Ir 0.000 0.000 8.565

***

Record 5
4
Lattice="0.000 3.009 3.009 3.009 0.000 3.009 3.009 3.009 0.000" Properties=species:S:1:pos:R:3 comment="NiPIr2, optimized geometry, DFT PBE" total_magnetization_mub_per_cell=0.0 ef_ev_per_atom=0.31 n_ef_per_ev_cell=5.48 pbc="T T T"
Ni 0.000 0.000 0.000
P 1.504 1.504 1.504
Ir 3.009 3.009 3.009
Ir 4.513 4.513 4.513

***

Record 6
4
Lattice="1.390 0.803 7.878 -1.390 0.803 7.878 0.000 -1.605 7.878" Properties=species:S:1:pos:R:3 comment="NiPIr2, optimized geometry, DFT PBE" total_magnetization_mub_per_cell=0.7 ef_ev_per_atom=-0.06 n_ef_per_ev_cell=4.21 pbc="T T T"
Ni 0.000 0.000 0.000
P 0.000 0.000 17.361
Ir 0.000 0.000 5.745
Ir 0.000 0.000 11.309

***

Record 7
5
Lattice="-1.748 1.748 5.278 1.748 -1.748 5.278 1.748 1.748 -5.278" Properties=species:S:1:pos:R:3 comment="Ni2P2Ir, optimized geometry, DFT PBE" total_magnetization_mub_per_cell=0.0 ef_ev_per_atom=0.21 n_ef_per_ev_cell=4.93 e_above_lowest_polymorph_ev_per_fu=2.30 pbc="T T T"
Ni 0.000 0.000 1.222
Ni 0.000 0.000 9.335
P 1.748 0.000 2.639
P 0.000 1.748 2.639
Ir 0.000 0.000 5.278

***

Record 8
4
Lattice="1.384 -2.390 0.000 1.384 2.390 0.000 0.000 0.000 8.329" Properties=species:S:1:pos:R:3 comment="NiPIr2, optimized geometry, DFT PBE" total_magnetization_mub_per_cell=0.5 ef_ev_per_atom=0.28 n_ef_per_ev_cell=4.60 pbc="T T T"
Ni 0.000 0.000 0.000
P 0.000 0.000 4.164
Ir 1.384 0.000 2.191
Ir 1.384 0.000 6.138

***

Record 9
4
Lattice="1.410 0.814 7.789 -1.410 0.814 7.789 0.000 -1.628 7.789" Properties=species:S:1:pos:R:3 comment="NiPIr2, optimized geometry, DFT PBE" total_magnetization_mub_per_cell=0.0 ef_ev_per_atom=-0.04 n_ef_per_ev_cell=2.02 pbc="T T T"
Ni 0.000 0.000 0.000
P 0.000 0.000 11.683
Ir 0.000 0.000 5.656
Ir 0.000 0.000 17.710

***

Record 10
4
Lattice="3.909 0.000 0.000 0.000 3.909 0.000 0.000 0.000 3.393" Properties=species:S:1:pos:R:3 comment="NiPIr2, optimized geometry, DFT PBE" total_magnetization_mub_per_cell=0.0 ef_ev_per_atom=0.01 n_ef_per_ev_cell=2.75 pbc="T T T"
Ni 0.000 0.000 0.000
P 1.955 1.955 0.000
Ir 0.000 1.955 1.696
Ir 1.955 0.000 1.696

***

Record 11
4
Lattice="2.840 0.000 0.000 0.000 2.840 0.000 0.000 0.000 6.527" Properties=species:S:1:pos:R:3 comment="NiPIr2, optimized geometry, DFT PBE" total_magnetization_mub_per_cell=0.6 ef_ev_per_atom=0.02 n_ef_per_ev_cell=5.61 pbc="T T T"
Ni 0.000 0.000 0.000
P 0.000 0.000 3.263
Ir 1.420 1.420 1.793
Ir 1.420 1.420 4.734

***

Record 12
4
Lattice="3.479 0.000 0.000 0.000 1.421 5.014 0.000 -1.421 5.014" Properties=species:S:1:pos:R:3 comment="Ni2PIr, optimized geometry, DFT PBE" total_magnetization_mub_per_cell=0.0 ef_ev_per_atom=-0.22 n_ef_per_ev_cell=2.89 pbc="T T T"
Ni 0.000 0.000 0.000
Ni 1.740 0.000 3.745
P 1.740 0.000 5.876
Ir 0.000 0.000 7.349

***

Record 13
4
Lattice="3.299 0.000 0.000 0.000 3.299 0.000 0.000 0.000 4.943" Properties=species:S:1:pos:R:3 comment="NiP2Ir, optimized geometry, DFT PBE" total_magnetization_mub_per_cell=0.0 ef_ev_per_atom=-0.17 n_ef_per_ev_cell=2.50 e_above_lowest_polymorph_ev_per_fu=0.75 pbc="T T T"
Ni 0.000 0.000 0.000
P 0.000 0.000 2.429
P 1.650 1.650 0.549
Ir 1.650 1.650 3.180

***

Record 14
4
Lattice="3.607 0.000 0.000 0.000 1.404 5.268 0.000 -1.404 5.268" Properties=species:S:1:pos:R:3 comment="NiPIr2, optimized geometry, DFT PBE" total_magnetization_mub_per_cell=0.0 ef_ev_per_atom=-0.15 n_ef_per_ev_cell=3.47 pbc="T T T"
Ni 0.000 0.000 0.000
P 1.804 0.000 6.092
Ir 0.000 0.000 7.559
Ir 1.804 0.000 3.833

***

Record 15
4
Lattice="1.375 -2.499 0.000 1.375 2.499 0.000 0.000 0.000 7.863" Properties=species:S:1:pos:R:3 comment="NiP2Ir, optimized geometry, DFT PBE" total_magnetization_mub_per_cell=0.0 ef_ev_per_atom=0.23 n_ef_per_ev_cell=3.87 e_above_lowest_polymorph_ev_per_fu=2.36 pbc="T T T"
Ni 0.000 0.000 0.000
P 1.375 0.000 1.878
P 1.375 0.000 5.985
Ir 0.000 0.000 3.931